MgCd2Re PBE relaxed; DOS at the Fermi energy = 2.18 states/eV/cell; total moment = 0.00 Bohr magnetons per cell; energy of formation from the pure elements = 0.405 eV per atom
1.0
5.121 -0.001 -0.016
4.328 2.737 -0.016
0.753 0.218 5.257
Cd Mg Re
2 1 1
Cartesian
7.650 2.215 3.924
9.416 2.726 0.027
5.140 1.488 2.490
2.545 0.737 1.362


MgCdRe2 PBE relaxed; DOS at the Fermi energy = 2.75 states/eV/cell; total moment = 0.00 Bohr magnetons per cell; energy of formation from the pure elements = 0.457 eV per atom
1.0
4.768 0.000 0.000
0.000 2.728 -0.024
0.000 0.833 5.150
Re Cd Mg
2 1 1
Cartesian
0.000 1.677 2.660
0.000 0.936 5.052
2.384 0.890 1.281
2.384 2.671 3.844


MgCdRe2 PBE relaxed; DOS at the Fermi energy = 2.29 states/eV/cell; total moment = 0.00 Bohr magnetons per cell; energy of formation from the pure elements = 0.472 eV per atom
1.0
5.462 -0.006 0.017
-2.781 4.701 0.017
0.430 0.754 2.589
Mg Re Cd
1 2 1
Cartesian
-1.175 2.727 1.303
0.000 0.000 0.000
1.340 2.347 0.017
2.946 0.374 1.303


MgCd2Re PBE relaxed; DOS at the Fermi energy = 2.20 states/eV/cell; total moment = 0.00 Bohr magnetons per cell; energy of formation from the pure elements = 0.401 eV per atom
1.0
-4.824 2.513 -0.367
0.527 -4.851 -2.744
-1.492 -1.714 1.694
Cd Mg Re
2 1 1
Cartesian
0.000 0.000 0.000
-3.158 0.399 0.663
-0.482 -3.283 -0.525
-2.148 -1.169 -1.556


MgCd2Re PBE relaxed; DOS at the Fermi energy = 2.74 states/eV/cell; total moment = 0.00 Bohr magnetons per cell; energy of formation from the pure elements = 0.406 eV per atom
1.0
-1.255 0.865 2.397
-3.678 -2.098 -1.168
1.913 -4.895 2.768
Mg Cd Re
1 2 1
Cartesian
1.002 -2.566 1.451
-1.984 -1.851 1.312
1.883 -4.819 2.725
-1.052 -4.235 2.661


MgCd2Re PBE relaxed; DOS at the Fermi energy = 4.55 states/eV/cell; total moment = 0.70 Bohr magnetons per cell; energy of formation from the pure elements = 0.625 eV per atom
1.0
4.718 0.000 0.000
2.359 4.086 0.000
2.359 1.362 3.852
Mg Cd Re
1 2 1
Cartesian
4.718 2.724 1.926
2.359 1.362 0.963
0.000 0.000 0.000
7.077 4.086 2.889


Mg2Cd4Re PBE relaxed; DOS at the Fermi energy = 4.40 states/eV/cell; total moment = 0.15 Bohr magnetons per cell; energy of formation from the pure elements = 0.640 eV per atom
1.0
5.236 0.000 0.000
0.000 5.236 0.000
2.618 2.618 7.091
Mg Cd Re
2 4 1
Cartesian
5.236 5.236 5.494
2.618 2.618 1.598
2.618 2.618 4.391
5.236 5.236 2.700
0.000 2.618 0.000
2.618 0.000 0.000
0.000 0.000 0.000


MgCd2Re PBE relaxed; DOS at the Fermi energy = 6.30 states/eV/cell; total moment = 0.00 Bohr magnetons per cell; energy of formation from the pure elements = 0.843 eV per atom
1.0
4.043 0.000 0.000
0.000 4.043 0.000
2.021 2.021 9.936
Cd Re Mg
4 2 2
Cartesian
3.078 1.011 2.484
5.053 5.099 7.452
3.032 2.986 7.452
0.965 3.032 2.484
4.043 2.021 4.968
0.000 0.000 0.000
2.021 2.021 0.000
2.021 4.043 4.968


MgCdRe2 PBE relaxed; DOS at the Fermi energy = 4.44 states/eV/cell; total moment = 0.00 Bohr magnetons per cell; energy of formation from the pure elements = 0.612 eV per atom
1.0
2.686 0.000 0.000
0.000 2.686 0.000
0.000 0.000 9.285
Cd Mg Re
1 1 2
Cartesian
1.343 1.343 2.321
1.343 1.343 6.964
0.000 0.000 9.220
0.000 0.000 4.707


MgCd2Re PBE relaxed; DOS at the Fermi energy = 2.87 states/eV/cell; total moment = 0.00 Bohr magnetons per cell; energy of formation from the pure elements = 0.349 eV per atom
1.0
-2.510 -0.706 1.147
1.940 0.138 2.081
-2.047 9.373 1.288
Re Cd Mg
1 2 1
Cartesian
-1.801 6.659 2.568
-0.812 2.131 1.946
-2.015 9.226 1.268
-1.059 4.847 0.666


MgCdRe2 PBE relaxed; DOS at the Fermi energy = 2.39 states/eV/cell; total moment = 0.00 Bohr magnetons per cell; energy of formation from the pure elements = 0.319 eV per atom
1.0
-1.722 -1.972 -0.979
0.919 -0.429 2.605
-7.585 4.895 3.483
Cd Re Mg
1 2 1
Cartesian
-3.747 2.418 1.721
-0.076 0.049 0.035
-2.135 -0.082 1.609
-6.222 2.555 3.486


MgCdRe2 PBE relaxed; DOS at the Fermi energy = 3.54 states/eV/cell; total moment = 0.00 Bohr magnetons per cell; energy of formation from the pure elements = 0.788 eV per atom
1.0
3.433 0.000 0.000
0.000 3.433 0.000
0.000 0.000 5.865
Re Cd Mg
2 1 1
Cartesian
0.000 0.000 5.590
0.000 0.000 3.209
1.717 1.717 1.466
1.717 1.717 4.399


MgCdRe2 PBE relaxed; DOS at the Fermi energy = 2.63 states/eV/cell; total moment = 0.00 Bohr magnetons per cell; energy of formation from the pure elements = 0.522 eV per atom
1.0
-7.056 -6.740 -0.423
-5.546 -7.588 -2.656
-4.854 -8.475 -0.063
Re Mg Cd
2 1 1
Cartesian
-8.696 -11.359 -1.565
-0.033 -0.043 -0.006
-13.092 -17.102 -2.356
-4.364 -5.701 -0.785


MgCdRe2 PBE relaxed; DOS at the Fermi energy = 2.17 states/eV/cell; total moment = 0.00 Bohr magnetons per cell; energy of formation from the pure elements = 0.493 eV per atom
1.0
2.720 -0.019 0.000
-0.841 2.587 0.000
0.000 0.000 9.456
Cd Mg Re
1 1 2
Cartesian
0.940 1.284 2.364
0.940 1.284 7.092
0.000 0.000 4.793
0.000 0.000 9.391


MgCd2Re PBE relaxed; DOS at the Fermi energy = 2.88 states/eV/cell; total moment = 0.00 Bohr magnetons per cell; energy of formation from the pure elements = 0.436 eV per atom
1.0
-0.776 -1.894 -1.965
3.606 -2.482 0.969
-3.059 -2.886 3.989
Mg Cd Re
1 2 1
Cartesian
0.650 -2.910 0.499
-3.030 -2.859 3.952
-1.558 -1.471 2.032
-0.879 -4.353 2.494